1.
DFT (PBE-GGA) results for an optimized crystal structure of Re2TeW. Values from VASP.

Results
The raw formation energy comes out at 2.28 eV per formula unit. The calculation puts the total energy at -9.679 eV/atom.

Cell and atoms, written as Quantum ESPRESSO input:
```
&SYSTEM
  ibrav = 0, nat = 12, ntyp = 3
/
ATOMIC_SPECIES
Re 186.21 Re.upf
Te 127.60 Te.upf
W 183.84 W.upf
ATOMIC_POSITIONS angstrom
Re 0.000 0.000 6.482
Re 0.000 0.000 19.885
Re 0.000 1.731 11.096
Re 0.000 1.731 24.060
Re 1.499 0.866 2.307
Re 1.499 0.866 15.271
Te 0.000 0.000 0.000
Te 0.000 1.731 17.578
Te 1.499 0.866 8.789
W 0.000 0.000 13.183
W 0.000 1.731 4.394
W 1.499 0.866 21.972
CELL_PARAMETERS angstrom
2.999 0.000 0.000
-1.499 2.597 0.000
0.000 0.000 26.367
```

=====

2.
DFT (PBE-GGA) results for an optimized crystal structure of Ca2HoAl3Ga12. Values from VASP.

Results
The formation energy is -0.085 eV/atom. The calculation puts the total energy at -3.203 eV/atom.

Cell and atoms, written as Quantum ESPRESSO input:
```
&SYSTEM
  ibrav = 0, nat = 18, ntyp = 4
/
ATOMIC_SPECIES
Ca 40.08 Ca.upf
Ho 164.93 Ho.upf
Al 26.98 Al.upf
Ga 69.72 Ga.upf
ATOMIC_POSITIONS angstrom
Ca 0.000 0.000 4.142
Ca 0.000 0.000 25.731
Ho 0.000 0.000 14.937
Al -1.696 -0.979 9.958
Al -1.696 0.979 19.916
Al 0.000 1.958 9.958
Ga -1.971 -1.138 13.027
Ga 0.000 -2.345 8.579
Ga -2.030 1.172 8.579
Ga -2.030 -1.172 21.294
Ga 0.000 -2.276 16.846
Ga -1.971 1.138 16.846
Ga 1.971 -1.138 13.027
Ga 0.000 2.276 13.027
Ga 2.030 1.172 8.579
Ga 2.030 -1.172 21.294
Ga 0.000 2.345 21.294
Ga 1.971 1.138 16.846
CELL_PARAMETERS angstrom
3.392 1.958 9.958
-3.392 1.958 9.958
0.000 -3.917 9.958
```

=====

3.
DFT (PBE-GGA) results for an optimized crystal structure of ScNi2Ru. Values from VASP.

Results
The formation energy is -0.115 eV/atom. The calculation puts the total energy at -6.907 eV/atom.

Cell and atoms, written as Quantum ESPRESSO input:
```
&SYSTEM
  ibrav = 0, nat = 16, ntyp = 3
/
ATOMIC_SPECIES
Sc 44.96 Sc.upf
Ni 58.69 Ni.upf
Ru 101.07 Ru.upf
ATOMIC_POSITIONS angstrom
Sc 0.000 0.000 0.000
Sc 0.000 3.031 3.031
Sc 3.031 0.000 3.031
Sc 3.031 3.031 0.000
Ni 0.000 0.000 3.031
Ni 0.000 3.031 0.000
Ni 1.516 1.516 1.516
Ni 1.516 4.547 4.547
Ni 3.031 0.000 0.000
Ni 3.031 3.031 3.031
Ni 4.547 1.516 4.547
Ni 4.547 4.547 1.516
Ru 1.516 1.516 4.547
Ru 1.516 4.547 1.516
Ru 4.547 1.516 1.516
Ru 4.547 4.547 4.547
CELL_PARAMETERS angstrom
6.063 0.000 0.000
0.000 6.063 0.000
0.000 0.000 6.063
```

=====

4.
DFT (PBE-GGA) results for an optimized crystal structure of La2CuPd2. Values from VASP.

Results
The formation energy is -0.360 eV/atom. For the energy relative to the lowest polymorph listed for this composition, the calculation gives 137 kJ/mol of formula units. The calculation puts the total energy at -5.227 eV/atom.

Cell and atoms, written as Quantum ESPRESSO input:
```
&SYSTEM
  ibrav = 0, nat = 10, ntyp = 3
/
ATOMIC_SPECIES
La 138.91 La.upf
Cu 63.55 Cu.upf
Pd 106.42 Pd.upf
ATOMIC_POSITIONS angstrom
La 1.393 2.660 0.000
La 2.660 6.714 0.000
La 5.447 1.393 0.000
La 6.714 5.447 0.000
Cu 0.000 0.000 0.000
Cu 4.054 4.054 0.000
Pd 1.016 5.070 1.930
Pd 3.038 1.016 1.930
Pd 5.070 7.091 1.930
Pd 7.091 3.038 1.930
CELL_PARAMETERS angstrom
8.108 0.000 0.000
0.000 8.108 0.000
0.000 0.000 3.859
```

=====

5.
DFT (PBE-GGA) results for an optimized crystal structure of TlSi2Ru2. Values from VASP.

Results
For the energy relative to the lowest polymorph listed for this composition, the calculation gives 80 kJ/mol of formula units. The raw formation energy comes out at -0.57 eV per formula unit. The calculation puts the total energy at -6.467 eV/atom.

Cell and atoms, written as Quantum ESPRESSO input:
```
&SYSTEM
  ibrav = 0, nat = 10, ntyp = 3
/
ATOMIC_SPECIES
Tl 204.38 Tl.upf
Si 28.09 Si.upf
Ru 101.07 Ru.upf
ATOMIC_POSITIONS angstrom
Tl 0.000 0.000 0.000
Tl 3.624 3.624 0.000
Si 0.997 2.626 1.467
Si 2.626 6.250 1.467
Si 4.621 0.997 1.467
Si 6.250 4.621 1.467
Ru 1.077 4.701 0.000
Ru 2.547 1.077 0.000
Ru 4.701 6.171 0.000
Ru 6.171 2.547 0.000
CELL_PARAMETERS angstrom
7.248 0.000 0.000
0.000 7.248 0.000
0.000 0.000 2.934
```

=====

6.
DFT (PBE-GGA) results for an optimized crystal structure of PrTh2Tl. Values from VASP.

Results
The formation energy is -0.093 eV/atom. For the energy relative to the lowest polymorph listed for this composition, the calculation gives 0 kJ/mol of formula units. The calculation puts the total energy at -5.589 eV/atom.

Cell and atoms, written as Quantum ESPRESSO input:
```
&SYSTEM
  ibrav = 0, nat = 4, ntyp = 3
/
ATOMIC_SPECIES
Pr 140.91 Pr.upf
Th 232.04 Th.upf
Tl 204.38 Tl.upf
ATOMIC_POSITIONS angstrom
Pr 0.000 0.000 0.000
Th 0.000 2.455 2.566
Th 2.455 0.000 2.566
Tl 2.455 2.455 0.000
CELL_PARAMETERS angstrom
4.909 0.000 0.000
0.000 4.909 0.000
0.000 0.000 5.132
```

=====

7.
DFT (PBE-GGA) results for an optimized crystal structure of LiTcAg2. Values from VASP.

Results
The formation energy is 0.262 eV/atom. For the energy relative to the lowest polymorph listed for this composition, the calculation gives 10 kJ/mol of formula units. The calculation puts the total energy at -4.233 eV/atom.

Cell and atoms, written as Quantum ESPRESSO input:
```
&SYSTEM
  ibrav = 0, nat = 8, ntyp = 3
/
ATOMIC_SPECIES
Li 6.94 Li.upf
Tc 98.00 Tc.upf
Ag 107.87 Ag.upf
ATOMIC_POSITIONS angstrom
Li 0.000 0.000 0.000
Li 2.994 4.044 0.000
Tc 0.000 4.044 0.000
Tc 2.994 0.000 0.000
Ag 1.497 2.022 1.330
Ag 1.497 6.065 1.330
Ag 4.490 2.022 1.330
Ag 4.490 6.065 1.330
CELL_PARAMETERS angstrom
5.987 0.000 0.000
0.000 8.087 0.000
0.000 0.000 2.659
```

=====

8.
DFT (PBE-GGA) results for an optimized crystal structure of MgPaPt4. Values from VASP.

Results
The formation energy is -0.752 eV/atom. The calculation puts the total energy at -6.628 eV/atom.

Cell and atoms, written as Quantum ESPRESSO input:
```
&SYSTEM
  ibrav = 0, nat = 12, ntyp = 3
/
ATOMIC_SPECIES
Mg 24.30 Mg.upf
Pa 231.04 Pa.upf
Pt 195.08 Pt.upf
ATOMIC_POSITIONS angstrom
Mg 0.000 0.000 0.000
Mg 2.765 2.864 0.000
Pa 0.000 0.000 3.685
Pa 2.765 2.864 3.685
Pt 0.897 1.886 1.787
Pt 0.897 1.886 5.582
Pt 1.868 4.750 1.787
Pt 1.868 4.750 5.582
Pt 3.662 0.978 1.787
Pt 3.662 0.978 5.582
Pt 4.632 3.842 1.787
Pt 4.632 3.842 5.582
CELL_PARAMETERS angstrom
5.529 0.000 0.000
0.000 5.728 0.000
0.000 0.000 7.370
```

=====

9.
DFT (PBE-GGA) results for an optimized crystal structure of BaHfBe2Pd. Values from VASP.

Results
The formation energy is 0.915 eV/atom. The calculation puts the total energy at -3.989 eV/atom.

Cell and atoms, written as Quantum ESPRESSO input:
```
&SYSTEM
  ibrav = 0, nat = 5, ntyp = 4
/
ATOMIC_SPECIES
Ba 137.33 Ba.upf
Hf 178.49 Hf.upf
Be 9.01 Be.upf
Pd 106.42 Pd.upf
ATOMIC_POSITIONS angstrom
Ba 0.000 0.000 0.000
Hf 2.271 2.271 0.000
Be 0.000 2.271 2.792
Be 2.271 0.000 2.792
Pd 0.000 0.000 2.792
CELL_PARAMETERS angstrom
4.542 0.000 0.000
0.000 4.542 0.000
0.000 0.000 5.583
```

=====

10.
DFT (PBE-GGA) results for an optimized crystal structure of TaNiGeOs2. Values from VASP.

Results
The formation energy is 1.842 eV/atom. The calculation puts the total energy at -7.101 eV/atom.

Cell and atoms, written as Quantum ESPRESSO input:
```
&SYSTEM
  ibrav = 0, nat = 5, ntyp = 4
/
ATOMIC_SPECIES
Ta 180.95 Ta.upf
Ni 58.69 Ni.upf
Ge 72.64 Ge.upf
Os 190.23 Os.upf
ATOMIC_POSITIONS angstrom
Ta 0.000 0.000 0.000
Ni 0.000 0.000 2.295
Ge 2.391 2.391 2.295
Os 0.000 2.391 0.000
Os 2.391 0.000 0.000
CELL_PARAMETERS angstrom
4.781 0.000 0.000
0.000 4.781 0.000
0.000 0.000 4.590
```

=====

11.
DFT (PBE-GGA) results for an optimized crystal structure of SmHoSi2. Values from VASP.

Results
For the energy relative to the lowest polymorph listed for this composition, the calculation gives 118 kJ/mol of formula units. The raw formation energy comes out at -1.99 eV per formula unit. The calculation puts the total energy at -5.532 eV/atom.

Cell and atoms, written as Quantum ESPRESSO input:
```
&SYSTEM
  ibrav = 0, nat = 12, ntyp = 3
/
ATOMIC_SPECIES
Sm 150.36 Sm.upf
Ho 164.93 Ho.upf
Si 28.09 Si.upf
ATOMIC_POSITIONS angstrom
Sm 0.000 0.000 0.000
Sm 0.000 2.666 10.302
Sm 2.309 1.333 5.151
Ho 0.000 0.000 7.727
Ho 0.000 2.666 2.576
Ho 2.309 1.333 12.878
Si 0.000 0.000 3.769
Si 0.000 0.000 11.684
Si 0.000 2.666 6.533
Si 0.000 2.666 14.071
Si 2.309 1.333 1.382
Si 2.309 1.333 8.920
CELL_PARAMETERS angstrom
4.617 0.000 0.000
-2.309 3.999 0.000
0.000 0.000 15.453
```

=====

12.
DFT (PBE-GGA) results for an optimized crystal structure of Li5TmSe4. Values from VASP.

Results
The raw formation energy comes out at -13.98 eV per formula unit. The calculation puts the total energy at -4.196 eV/atom.

Cell and atoms, written as Quantum ESPRESSO input:
```
&SYSTEM
  ibrav = 0, nat = 10, ntyp = 3
/
ATOMIC_SPECIES
Li 6.94 Li.upf
Tm 168.93 Tm.upf
Se 78.96 Se.upf
ATOMIC_POSITIONS angstrom
Li 0.000 0.000 0.000
Li 2.031 2.167 -2.497
Li 2.031 2.167 2.497
Li 0.000 1.556 4.491
Li 0.000 1.556 9.485
Tm 0.000 3.724 0.000
Se 2.031 1.764 0.000
Se 2.031 0.000 4.067
Se 0.000 3.724 2.921
Se 0.000 1.960 6.988
CELL_PARAMETERS angstrom
-2.031 3.724 6.988
2.031 -3.724 6.988
2.031 3.724 -6.988
```